# K2NpCoO6 | Alexandria via LeMat-Bulk | PBE+U | optimized geometry
# total moment: 1.93 μB per formula unit
# calculated total energy: -6.949 eV per atom
data_K2NpCoO6
_chemical_formula_sum 'K4 Np2 Co2 O12'
_space_group_name_H-M_alt 'I 4/m m m'
_space_group_IT_number 139
_space_group_name_Hall '-I 4 2'
_cell_length_a 5.5648
_cell_length_b 5.5648
_cell_length_c 9.8068
_cell_angle_alpha 90.00
_cell_angle_beta 90.00
_cell_angle_gamma 90.00
loop_
_atom_site_label
_atom_site_fract_x
_atom_site_fract_y
_atom_site_fract_z
K1 0.0000 0.5000 0.2500
Np1 0.0000 0.0000 0.0000
Co1 0.0000 0.0000 0.5000
O1 0.0000 0.0000 0.1933
O2 0.2337 0.2337 0.5000